The following is a DFT calculation (PBE) of RuAuBr2 after structural relaxation.

abc: 7.9148 7.9148 7.9148
angles: 27.94 27.94 27.94
Site moments in Bohr magnetons follow the coordinates.
Sites, in units of the cell vectors:
1 Br 0.0243 0.0243 0.0243  0.02
2 Br 0.2132 0.2132 0.2132  0.01
3 Au 0.7632 0.7632 0.7632  0.01
4 Ru 0.4993 0.4993 0.4993  0.38

Output
magnetization = 0.48 μB/f.u.
DOS at the Fermi energy = 4.729 states/eV per cell
formation energy from raw total energies = 0.194 eV per atom
offset from the most stable computed form = 0.000 eV per atom
total energy = -3.78 eV/atom

=====

The following is a DFT calculation (PBE) of Ru2AuBr after structural relaxation.

abc: 8.6770 8.6770 8.6770
angles: 19.73 19.73 19.73
Sites, in units of the cell vectors:
1 Ru 0.0039 0.0039 0.0039
2 Br 0.7500 0.7500 0.7500
3 Au 0.2500 0.2500 0.2500
4 Ru 0.4961 0.4961 0.4961

Output
magnetization = 0.00 μB/f.u.
DOS at the Fermi energy = 3.584 states/eV per cell
formation energy from raw total energies = 0.738 eV per atom
offset from the most stable computed form = 0.350 eV per atom
total energy = -5.14 eV/atom

=====

The following is a DFT calculation (PBE) of Ru2AuBr after structural relaxation.

abc: 2.9291 2.9291 9.1720
angles: 90.00 90.00 121.65
Sites, in units of the cell vectors:
1 Br 0.5000 0.5000 0.7500
2 Ru 0.0000 0.0000 0.9899
3 Au 0.5000 0.5000 0.2500
4 Ru 0.0000 0.0000 0.5101

Output
magnetization = 0.00 μB/f.u.
DOS at the Fermi energy = 5.693 states/eV per cell
formation energy from raw total energies = 0.910 eV per atom
offset from the most stable computed form = 0.522 eV per atom
total energy = -4.97 eV/atom

=====

The following is a DFT calculation (PBE) of Ru2AuBr after structural relaxation.

abc: 2.8542 2.8542 10.4298
angles: 90.00 90.00 120.45
Site moments in Bohr magnetons follow the coordinates.
Sites, in units of the cell vectors:
1 Ru 0.5000 0.5000 0.2219  0.56
2 Au 0.0000 0.0000 0.4628  0.01
3 Br 0.5000 0.5000 0.7940  0.02
4 Ru 0.0000 0.0000 0.0214  0.42

Output
magnetization = 1.07 μB/f.u.
DOS at the Fermi energy = 4.277 states/eV per cell
formation energy from raw total energies = 0.667 eV per atom
offset from the most stable computed form = 0.279 eV per atom
total energy = -5.21 eV/atom